[1]
Entry from Alexandria via LeMat-Bulk: a relaxed TaRe2 crystal (PBE-GGA).

Summary:
V ... 47.8 Å³ per cell
M_tot ... 0.00 Bohr magnetons per cell
Space-group type ... P-3m1, No. 164
VASP energy ... -36.9 eV/cell
DFT formation energy ... -0.063 eV/atom

a = 4.4483 Å, b = 4.4483 Å, c = 2.7909 Å
α = 90.00°, β = 90.00°, γ = 120.00°
Last column: nearest neighbours and their distance in Å.
Atoms (fractional coordinates):
1 Re 0.6667 0.3333 0.3219  3 Ta 2.72, 5 Re 2.75-2.79
2 Re 0.3333 0.6667 0.6781  3 Ta 2.72, 5 Re 2.75-2.79
3 Ta 0.0000 0.0000 0.0000  6 Re 2.72, 2 Ta 2.79

---

[2]
Entry from Alexandria via LeMat-Bulk: a relaxed Ta2Re crystal (PBE-GGA).

Summary:
V ... 108.7 Å³ per cell
M_tot ... 0.00 Bohr magnetons per cell
Space-group type ... I4/mcm, No. 140
VASP energy ... -71.9 eV/cell
DFT formation energy ... 0.067 eV/atom

a = 5.2593 Å, b = 5.2593 Å, c = 5.2593 Å
α = 104.13°, β = 104.13°, γ = 120.77°
Last column: nearest neighbours and their distance in Å.
Atoms (fractional coordinates):
1 Ta 0.6578 0.8422 0.5000  4 Re 2.76, 1 Ta 2.89
2 Ta 0.1578 0.6578 0.8157  4 Re 2.76, 1 Ta 2.89
3 Ta 0.8422 0.3422 0.1843  4 Re 2.76, 1 Ta 2.89
4 Ta 0.3422 0.1578 0.5000  4 Re 2.76, 1 Ta 2.89
5 Re 0.2500 0.2500 0.0000  2 Re 2.60, 8 Ta 2.76
6 Re 0.7500 0.7500 0.0000  2 Re 2.60, 8 Ta 2.76

---

[3]
Entry from Alexandria via LeMat-Bulk: a relaxed Ta4Re crystal (PBE-GGA).

Summary:
V ... 110.8 Å³ per cell
M_tot ... 0.00 Bohr magnetons per cell
Space-group type ... Pm-3m, No. 221
VASP energy ... -52.6 eV/cell
DFT formation energy ... 1.455 eV/atom
Energy above the most stable polymorph in this dataset ... 1661.3 meV/atom

a = 4.8037 Å, b = 4.8037 Å, c = 4.8037 Å
α = 90.00°, β = 90.00°, γ = 90.00°
Last column: nearest neighbours and their distance in Å.
Atoms (fractional coordinates):
1 Re 0.5000 0.5000 0.5000  6 Ta 2.40
2 Ta 0.0000 0.0000 0.0000  12 Ta 3.40
3 Ta 0.5000 0.0000 0.5000  2 Re 2.40
4 Ta 0.0000 0.5000 0.5000  2 Re 2.40
5 Ta 0.5000 0.5000 0.0000  2 Re 2.40

---

[4]
Entry from Alexandria via LeMat-Bulk: a relaxed Ta2Re crystal (PBE-GGA).

Summary:
V ... 104.5 Å³ per cell
M_tot ... 0.00 Bohr magnetons per cell
Space-group type ... P6_3/mmc, No. 194
VASP energy ... -71.6 eV/cell
DFT formation energy ... 0.115 eV/atom

a = 4.7816 Å, b = 4.7816 Å, c = 5.2776 Å
α = 90.00°, β = 90.00°, γ = 120.00°
Last column: nearest neighbours and their distance in Å.
Atoms (fractional coordinates):
1 Ta 0.0000 0.0000 0.0000  2 Ta 2.64
2 Ta 0.0000 0.0000 0.5000  2 Ta 2.64
3 Ta 0.3333 0.6667 0.7500  5 Re 2.64-2.76
4 Ta 0.6667 0.3333 0.2500  5 Re 2.64-2.76
5 Re 0.3333 0.6667 0.2500  5 Ta 2.64-2.76
6 Re 0.6667 0.3333 0.7500  5 Ta 2.64-2.76

---

[5]
Entry from Alexandria via LeMat-Bulk: a relaxed Ta3Re crystal (PBE-GGA).

Summary:
V ... 68.8 Å³ per cell
M_tot ... 0.00 Bohr magnetons per cell
Space-group type ... P2/m, No. 10
VASP energy ... -48.7 eV/cell
DFT formation energy ... -0.183 eV/atom

a = 2.8871 Å, b = 4.5333 Å, c = 5.3572 Å
α = 90.00°, β = 78.94°, γ = 90.00°
Last column: nearest neighbours and their distance in Å.
Atoms (fractional coordinates):
1 Re 0.0000 0.0000 0.0000  6 Ta 2.77-2.79, 2 Re 2.89
2 Ta 0.7618 0.5000 0.7546  6 Ta 2.77-2.89, 2 Re 2.77
3 Ta 0.5000 0.0000 0.5000  2 Re 2.79, 6 Ta 2.82-2.89
4 Ta 0.2382 0.5000 0.2454  6 Ta 2.77-2.89, 2 Re 2.77

---

[6]
Entry from Alexandria via LeMat-Bulk: a relaxed Ta4Re crystal (PBE-GGA).

Summary:
V ... 87.4 Å³ per cell
M_tot ... 0.00 Bohr magnetons per cell
Space-group type ... I4/m, No. 87
VASP energy ... -60.9 eV/cell
DFT formation energy ... -0.206 eV/atom
Energy above the most stable polymorph in this dataset ... 0.0 meV/atom

a = 3.2039 Å, b = 5.4624 Å, c = 5.4624 Å
α = 85.07°, β = 72.95°, γ = 72.95°
Last column: nearest neighbours and their distance in Å.
Atoms (fractional coordinates):
1 Re 0.0000 0.0000 0.0000  8 Ta 2.78
2 Ta 0.4054 0.8026 0.3866  2 Re 2.78, 6 Ta 2.87
3 Ta 0.5946 0.1974 0.6134  2 Re 2.78, 6 Ta 2.87
4 Ta 0.7920 0.6134 0.8026  2 Re 2.78, 6 Ta 2.87
5 Ta 0.2080 0.3866 0.1974  2 Re 2.78, 6 Ta 2.87

---

[7]
Entry from Alexandria via LeMat-Bulk: a relaxed Ta3Re5 crystal (PBE-GGA).

Summary:
V ... 267.0 Å³ per cell
M_tot ... 0.00 Bohr magnetons per cell
Space-group type ... C2/m, No. 12
VASP energy ... -194.4 eV/cell
DFT formation energy ... 0.077 eV/atom
Energy above the most stable polymorph in this dataset ... 293.7 meV/atom

a = 5.0794 Å, b = 6.7461 Å, c = 8.7351 Å
α = 95.84°, β = 105.66°, γ = 67.88°
Last column: nearest neighbours and their distance in Å.
Atoms (fractional coordinates):
1 Re 0.0607 0.7062 0.7935  3 Re 2.58-2.82, 4 Ta 2.65-2.85
2 Re 0.2454 0.8265 0.2999  2 Ta 2.58-2.69, 2 Re 2.63-2.65
3 Re 0.2442 0.5001 0.4452  5 Re 2.52-2.82, 2 Ta 2.68
4 Re 0.2667 0.2936 0.7933  3 Re 2.58-2.82, 4 Ta 2.65-2.85
5 Re 0.4287 0.8268 0.7009  2 Ta 2.58-2.69, 2 Re 2.63-2.66
6 Re 0.5722 0.1732 0.2999  2 Ta 2.58-2.69, 2 Re 2.63-2.66
7 Re 0.7342 0.7064 0.2075  3 Re 2.58-2.82, 4 Ta 2.65-2.85
8 Re 0.7566 0.4999 0.5556  5 Re 2.52-2.82, 2 Ta 2.68
9 Re 0.7554 0.1735 0.7008  2 Ta 2.58-2.69, 2 Re 2.63-2.65
10 Re 0.9401 0.2938 0.2073  3 Re 2.58-2.82, 4 Ta 2.65-2.85
11 Ta 0.1811 0.1390 0.5003  6 Re 2.58-2.68
12 Ta 0.2460 0.0090 0.0005  2 Ta 2.54, 2 Re 2.82
13 Ta 0.2912 0.4998 0.0914  6 Re 2.69-2.98, 2 Ta 2.95-2.98
14 Ta 0.7097 0.5002 0.9094  6 Re 2.69-2.98, 2 Ta 2.95-2.98
15 Ta 0.7549 0.9910 0.0004  2 Ta 2.54, 2 Re 2.82
16 Ta 0.8197 0.8610 0.5005  6 Re 2.58-2.68

---

[8]
Entry from Alexandria via LeMat-Bulk: a relaxed Ta3Re crystal (PBE-GGA).

Summary:
V ... 73.3 Å³ per cell
M_tot ... 0.00 Bohr magnetons per cell
Space-group type ... Pmm2, No. 25
VASP energy ... -46.1 eV/cell
DFT formation energy ... 0.478 eV/atom

a = 2.9718 Å, b = 2.6787 Å, c = 9.2098 Å
α = 90.00°, β = 90.00°, γ = 90.00°
Last column: nearest neighbours and their distance in Å.
Atoms (fractional coordinates):
1 Re 0.0000 0.0000 0.9627  4 Re 2.68-2.97, 6 Ta 2.72-2.88
2 Ta 0.0000 0.5000 0.4674  6 Ta 2.68-2.98
3 Ta 0.5000 0.5000 0.1875  6 Ta 2.68-2.98, 4 Re 2.88
4 Ta 0.5000 0.0000 0.7157  4 Ta 2.68-2.97, 2 Re 2.72

---

[9]
Entry from Alexandria via LeMat-Bulk: a relaxed Ta3Re crystal (PBE-GGA).

Summary:
V ... 137.5 Å³ per cell
M_tot ... 0.00 Bohr magnetons per cell
Space-group type ... Cmcm, No. 63
VASP energy ... -97.4 eV/cell
DFT formation energy ... -0.177 eV/atom

a = 5.6106 Å, b = 5.6106 Å, c = 4.6189 Å
α = 90.00°, β = 90.00°, γ = 71.02°
Last column: nearest neighbours and their distance in Å.
Atoms (fractional coordinates):
1 Re 0.6239 0.3761 0.2500  6 Ta 2.79-2.82, 2 Re 2.82
2 Re 0.3761 0.6239 0.7500  6 Ta 2.79-2.82, 2 Re 2.82
3 Ta 0.8691 0.1309 0.7500  6 Ta 2.80-2.87, 2 Re 2.81
4 Ta 0.1309 0.8691 0.2500  6 Ta 2.80-2.87, 2 Re 2.81
5 Ta 0.8768 0.6275 0.7500  2 Re 2.79-2.82, 6 Ta 2.80-2.83
6 Ta 0.1232 0.3725 0.2500  2 Re 2.79-2.82, 6 Ta 2.80-2.83
7 Ta 0.3725 0.1232 0.7500  2 Re 2.79-2.82, 6 Ta 2.80-2.83
8 Ta 0.6275 0.8768 0.2500  2 Re 2.79-2.82, 6 Ta 2.80-2.83

---

[10]
Entry from Alexandria via LeMat-Bulk: a relaxed TaRe2 crystal (PBE-GGA).

Summary:
V ... 95.8 Å³ per cell
M_tot ... 0.00 Bohr magnetons per cell
Space-group type ... C2/m, No. 12
VASP energy ... -73.9 eV/cell
DFT formation energy ... -0.066 eV/atom

a = 5.2630 Å, b = 5.2630 Å, c = 6.3822 Å
α = 71.42°, β = 71.42°, γ = 35.10°
Last column: nearest neighbours and their distance in Å.
Atoms (fractional coordinates):
1 Ta 0.8331 0.8331 0.0883  6 Re 2.72-2.76, 2 Ta 2.80
2 Ta 0.1669 0.1669 0.9117  6 Re 2.72-2.76, 2 Ta 2.80
3 Re 0.5034 0.5034 0.7507  4 Re 2.71-2.76, 4 Ta 2.72-2.76
4 Re 0.8371 0.8371 0.5834  6 Re 2.71-2.82, 2 Ta 2.73
5 Re 0.1629 0.1629 0.4166  6 Re 2.71-2.82, 2 Ta 2.73
6 Re 0.4966 0.4966 0.2493  4 Re 2.71-2.76, 4 Ta 2.72-2.76

---

[11]
Entry from Alexandria via LeMat-Bulk: a relaxed Ta3Re crystal (PBE-GGA).

Summary:
V ... 137.5 Å³ per cell
M_tot ... 0.00 Bohr magnetons per cell
Space-group type ... Cmcm, No. 63
VASP energy ... -97.8 eV/cell
DFT formation energy ... -0.227 eV/atom

a = 4.5959 Å, b = 5.6266 Å, c = 5.6266 Å
α = 70.87°, β = 90.00°, γ = 90.00°
Last column: nearest neighbours and their distance in Å.
Atoms (fractional coordinates):
1 Re 0.2500 0.3734 0.3734  8 Ta 2.80-2.82
2 Re 0.7500 0.6266 0.6266  8 Ta 2.80-2.82
3 Ta 0.7500 0.1301 0.6194  4 Re 2.80-2.82, 4 Ta 2.81-2.84
4 Ta 0.7500 0.1214 0.1214  8 Ta 2.81-2.84
5 Ta 0.2500 0.3806 0.8699  4 Re 2.80-2.82, 4 Ta 2.81-2.84
6 Ta 0.7500 0.6194 0.1301  4 Re 2.80-2.82, 4 Ta 2.81-2.84
7 Ta 0.2500 0.8786 0.8786  8 Ta 2.81-2.84
8 Ta 0.2500 0.8699 0.3806  4 Re 2.80-2.82, 4 Ta 2.81-2.84

---

[12]
Entry from Alexandria via LeMat-Bulk: a relaxed Ta4Re5 crystal (PBE-GGA).

Summary:
V ... 146.5 Å³ per cell
M_tot ... 0.00 Bohr magnetons per cell
Space-group type ... I4/mmm, No. 139
VASP energy ... -110.9 eV/cell
DFT formation energy ... -0.137 eV/atom
Energy above the most stable polymorph in this dataset ... 0.0 meV/atom

a = 6.9782 Å, b = 6.9782 Å, c = 6.9782 Å
α = 92.96°, β = 92.96°, γ = 153.72°
Last column: nearest neighbours and their distance in Å.
Atoms (fractional coordinates):
1 Ta 0.3257 0.0000 0.3257  4 Re 2.72, 4 Ta 2.85
2 Ta 0.6743 0.0000 0.6743  4 Re 2.72, 4 Ta 2.85
3 Ta 0.0000 0.6743 0.6743  4 Re 2.72, 4 Ta 2.85
4 Ta 0.0000 0.3257 0.3257  4 Re 2.72, 4 Ta 2.85
5 Re 0.0000 0.0000 0.0000  8 Re 2.75
6 Re 0.3347 0.6653 0.0000  4 Ta 2.72, 4 Re 2.75-2.80
7 Re 0.6653 0.6653 0.3307  4 Ta 2.72, 4 Re 2.75-2.80
8 Re 0.3347 0.3347 0.6693  4 Ta 2.72, 4 Re 2.75-2.80
9 Re 0.6653 0.3347 0.0000  4 Ta 2.72, 4 Re 2.75-2.80